(1)
This record from Alexandria via LeMat-Bulk describes a relaxed structure of Sr2CoHg. The functional is GGA-PBE.

Values from the calculation:
**Energy of formation**: 122 meV per atom

Cell: 3.912 5.158 11.425 Å, 90.00 90.00 90.00°
Space group Imm2 (No. 44)
Inequivalent atoms, fractional coordinates:
Sr (0.000, 0.000, 0.000) [2 per cell]
Sr (0.000, 0.500, 0.209) [2 per cell]
Co (0.000, 0.500, 0.761) [2 per cell]
Hg (0.000, 0.000, 0.417) [2 per cell]


(2)
This record from Alexandria via LeMat-Bulk describes a relaxed structure of KHgTePb. The functional is GGA-PBE.

Values from the calculation:
**Uncorrected formation energy**: -0.30 eV per atom

Cell: 8.075 8.075 8.075 Å, 90.00 90.00 90.00°
Space group F-43m (No. 216)
Inequivalent atoms, fractional coordinates:
K (0.000, 0.000, 0.000) [4 per cell]
Hg (0.250, 0.250, 0.250) [4 per cell]
Te (0.250, 0.250, 0.750) [4 per cell]
Pb (0.000, 0.000, 0.500) [4 per cell]


(3)
This record from Alexandria via LeMat-Bulk describes a relaxed structure of LaLuCdRh. The functional is GGA-PBE.

Values from the calculation:
**Energy of formation**: -473 meV per atom

Cell: 7.277 7.277 7.277 Å, 90.00 90.00 90.00°
Space group F-43m (No. 216)
Inequivalent atoms, fractional coordinates:
La (0.000, 0.000, 0.000) [4 per cell]
Lu (0.000, 0.000, 0.500) [4 per cell]
Cd (0.250, 0.250, 0.750) [4 per cell]
Rh (0.250, 0.250, 0.250) [4 per cell]


(4)
This record from Alexandria via LeMat-Bulk describes a relaxed structure of Ba2LaCdRu. The functional is GGA-PBE.

Values from the calculation:
**Energy of formation**: 0 meV per atom

Cell: 6.233 6.233 5.148 Å, 90.00 90.00 90.00°
Space group P4/mmm (No. 123)
Inequivalent atoms, fractional coordinates:
Ba (0.000, 0.500, 0.000) [2 per cell]
La (0.000, 0.000, 0.500) [1 per cell]
Cd (0.500, 0.500, 0.500) [1 per cell]
Ru (0.000, 0.000, 0.000) [1 per cell]


Let's list E in order: -2.571 -2.366 -4.902 -3.793 eV per atom.